(1)
The following is a SCAN calculation of a crystal of Fe2HgSb relaxed with PBEsol, from Alexandria.

abc: 8.2903 8.2903 8.2903
angles: 21.29 21.29 21.29
Closest atoms and distances in Å follow each position.
Sites, in units of the cell vectors:
1 Fe 0.2471 0.2471 0.2471  3 Sb 2.64, 3 Hg 2.74
2 Fe 0.7529 0.7529 0.7529  3 Sb 2.64, 3 Hg 2.74
3 Hg 0.0000 0.0000 0.0000  6 Fe 2.74, 6 Hg 3.06
4 Sb 0.5000 0.5000 0.5000  6 Fe 2.64

## Properties
Uncorrected formation energy (eV per atom): 0.50


(2)
The following is a SCAN calculation of a crystal of Fe2ReCl relaxed with PBEsol, from Alexandria.

abc: 2.7414 2.7414 7.9048
angles: 90.00 90.00 114.17
Closest atoms and distances in Å follow each position.
Sites, in units of the cell vectors:
1 Fe 0.0000 0.0000 0.2465  2 Cl 2.45, 2 Re 2.50, 4 Fe 2.74
2 Fe 0.0000 0.0000 0.7535  2 Cl 2.45, 2 Re 2.50, 4 Fe 2.74
3 Re 0.5000 0.5000 0.5000  4 Fe 2.50, 4 Re 2.74
4 Cl 0.5000 0.5000 0.0000  4 Fe 2.45, 4 Cl 2.74

## Properties
Uncorrected formation energy (eV per atom): 0.28


(3)
The following is a SCAN calculation of a crystal of KInIr3 relaxed with PBEsol, from Alexandria.

abc: 4.6388 4.6388 4.6388
angles: 90.00 90.00 90.00
Closest atoms and distances in Å follow each position.
Sites, in units of the cell vectors:
1 K 0.0000 0.0000 0.0000  6 Ir 2.32
2 In 0.5000 0.5000 0.5000  12 Ir 3.28
3 Ir 0.0000 0.0000 0.5000  2 K 2.32
4 Ir 0.0000 0.5000 0.0000  2 K 2.32
5 Ir 0.5000 0.0000 0.0000  2 K 2.32

## Properties
VASP energy (eV per atom): -47.909


(4)
The following is a SCAN calculation of a crystal of YAl3 relaxed with PBEsol, from Alexandria.

abc: 3.2038 3.7219 6.5942
angles: 90.00 90.00 90.00
Closest atoms and distances in Å follow each position.
Sites, in units of the cell vectors:
1 Y 0.0000 0.0000 0.0000  10 Al 3.13-3.30, 2 Y 3.20
2 Al 0.0000 0.0000 0.5000  8 Al 2.80
3 Al 0.5000 0.5000 0.2954  5 Al 2.70-2.80
4 Al 0.5000 0.5000 0.7046  5 Al 2.70-2.80

## Properties
VASP energy (eV per atom): -13.017


(5)
The following is a SCAN calculation of a crystal of CrCo3 relaxed with PBEsol, from Alexandria.

abc: 2.4493 3.9011 4.2504
angles: 90.00 90.00 90.00
Closest atoms and distances in Å follow each position.
Sites, in units of the cell vectors:
1 Cr 0.0000 0.0000 0.0000  10 Co 2.40-2.48, 2 Cr 2.45
2 Co 0.0000 0.5000 0.6697  2 Cr 2.40, 10 Co 2.40-2.47
3 Co 0.5000 0.0000 0.5069  8 Co 2.40-2.45, 4 Cr 2.43-2.48
4 Co 0.5000 0.5000 0.1750  8 Co 2.41-2.47, 4 Cr 2.42

## Properties
VASP energy (eV per atom): -17.374


(6)
The following is a SCAN calculation of a crystal of Zr2GaSnBi relaxed with PBEsol, from Alexandria.

abc: 5.3166 5.3166 5.5623
angles: 90.00 90.00 90.00
Closest atoms and distances in Å follow each position.
Sites, in units of the cell vectors:
1 Zr 0.0000 0.5000 0.0000  2 Sn 2.66
2 Zr 0.5000 0.0000 0.0000  2 Sn 2.66
3 Ga 0.0000 0.0000 0.5000  4 Bi 3.76, 8 Zr 3.85
4 Sn 0.5000 0.5000 0.0000  4 Zr 2.66, 2 Bi 2.78
5 Bi 0.5000 0.5000 0.5000  2 Sn 2.78

## Properties
VASP energy (eV per atom): -37.509


(7)
The following is a SCAN calculation of a crystal of ScSnAu relaxed with PBEsol, from Alexandria.

abc: 4.5319 4.5319 4.5319
angles: 60.00 60.00 60.00
Closest atoms and distances in Å follow each position.
Sites, in units of the cell vectors:
1 Sc 0.0000 0.0000 0.0000  4 Au 2.78
2 Sn 0.5000 0.5000 0.5000  4 Au 2.78
3 Au 0.2500 0.2500 0.2500  4 Sn 2.78, 4 Sc 2.78

## Properties
VASP energy (eV per atom): -40.811


(8)
The following is a SCAN calculation of a crystal of Mg2ReTc relaxed with PBEsol, from Alexandria.

abc: 3.0378 3.0378 7.2255
angles: 90.00 90.00 90.00
Closest atoms and distances in Å follow each position.
Sites, in units of the cell vectors:
1 Mg 0.0000 0.0000 0.0000  4 Tc 2.81, 8 Mg 3.04-3.09
2 Mg 0.5000 0.5000 0.3068  4 Re 2.82, 8 Mg 3.04-3.09
3 Re 0.0000 0.0000 0.5605  4 Tc 2.55, 4 Mg 2.82
4 Tc 0.5000 0.5000 0.7499  4 Re 2.55, 4 Mg 2.81

## Properties
VASP energy (eV per atom): -29.054


Ordered size of the total moment results: 1.28; 1.52; 0.35; 0.13; 0.60; 0.00; 0.00; 0.01; unit μB/atom.